Compound: Y2BiBr2
Source: Alexandria
Functional: GGA-PBE
Structure: optimized geometry

Geometry as POSCAR:
```
Y2BiBr2
1.0
-3.930 1.672 0.360
-2.550 -1.195 3.232
1.744 8.045 7.194
Br Y Bi
2 2 1
Direct
0.776 0.776 0.671
0.224 0.224 0.329
0.610 0.610 0.170
0.390 0.390 0.830
0.000 0.000 0.000
```

Total DFT energy (no corrections) in eV per atom: -5.36
Magnetic moment in Bohr magnetons per cell: 0.00
Density of states at the Fermi level in states/eV/f.u.: 2.1


Compound: MgAl2N
Source: Alexandria
Functional: GGA-PBE
Structure: optimized geometry

Geometry as POSCAR:
```
MgAl2N
1.0
-4.848 -3.499 -0.896
2.539 -2.234 -5.011
0.422 -5.563 -0.953
Al N Mg
4 2 2
Direct
0.375 0.502 0.750
0.498 0.125 0.250
0.875 0.748 0.750
0.252 0.625 0.250
0.500 0.500 0.000
0.250 0.750 0.500
0.750 0.250 0.500
0.000 0.000 0.000
```

Total DFT energy (no corrections) in eV per atom: -4.45
Magnetic moment in Bohr magnetons per cell: 0.00
Density of states at the Fermi level in states/eV/f.u.: 1.8


Compound: Zn2AgTe
Source: Alexandria
Functional: GGA-PBE
Structure: optimized geometry

Geometry as POSCAR:
```
Zn2AgTe
1.0
-0.254 3.851 -0.040
-3.310 -0.198 1.974
2.886 0.241 4.863
Te Zn Ag
1 2 1
Direct
0.500 0.500 0.813
0.500 0.500 0.304
0.000 0.000 0.960
0.000 0.000 0.424
```

Total DFT energy (no corrections) in eV per atom: -2.04
Magnetic moment in Bohr magnetons per cell: 0.00
Density of states at the Fermi level in states/eV/f.u.: 1.8


Compound: YAs2PdSe
Source: Alexandria
Functional: GGA-PBE
Structure: optimized geometry

Geometry as POSCAR:
```
YAs2PdSe
1.0
5.413 0.000 0.000
0.000 5.413 0.000
0.000 0.000 5.326
Y Pd Se As
1 1 1 2
Direct
0.000 0.000 0.000
0.500 0.500 0.500
0.000 0.000 0.500
0.500 0.000 0.000
0.000 0.500 0.000
```

Total DFT energy (no corrections) in eV per atom: -4.39
Magnetic moment in Bohr magnetons per cell: 0.00
Density of states at the Fermi level in states/eV/f.u.: 4.3


Compound: BaZn3Pt
Source: Alexandria
Functional: GGA-PBE
Structure: optimized geometry

Geometry as POSCAR:
```
BaZn3Pt
1.0
19.472 0.000 -2.608
7.611 2.031 -3.983
-7.611 2.031 3.983
Zn Pt Ba
6 2 2
Direct
0.855 0.212 0.788
0.650 0.590 0.410
0.350 0.410 0.590
0.967 0.739 0.261
0.145 0.788 0.212
0.033 0.261 0.739
0.665 0.975 0.025
0.335 0.025 0.975
0.325 0.775 0.225
0.675 0.225 0.775
```

Total DFT energy (no corrections) in eV per atom: -2.67
Magnetic moment in Bohr magnetons per cell: 0.00
Density of states at the Fermi level in states/eV/f.u.: 1.9


Compound: Ac3PuSe6
Source: Alexandria
Functional: GGA-PBE
Structure: optimized geometry

Geometry as POSCAR:
```
Ac3PuSe6
1.0
7.393 0.000 -0.157
0.000 8.094 0.000
-0.142 0.000 11.024
Ac Se Pu
6 12 2
Direct
0.038 0.592 0.244
0.462 0.092 0.256
0.962 0.408 0.756
0.000 0.000 0.500
0.538 0.908 0.744
0.500 0.500 0.000
0.190 0.315 0.418
0.310 0.815 0.082
0.848 0.937 0.240
0.169 0.309 0.074
0.810 0.685 0.582
0.669 0.191 0.574
0.652 0.437 0.260
0.690 0.185 0.918
0.831 0.691 0.926
0.348 0.563 0.740
0.331 0.809 0.426
0.152 0.063 0.760
0.500 0.500 0.500
0.000 0.000 0.000
```

Total DFT energy (no corrections) in eV per atom: -6.57
Magnetic moment in Bohr magnetons per cell: 10.00
Density of states at the Fermi level in states/eV/f.u.: 11.4


Compound: Er8In2Ga
Source: Alexandria
Functional: GGA-PBE
Structure: optimized geometry

Geometry as POSCAR:
```
Er8In2Ga
1.0
5.110 0.000 0.000
0.000 6.714 0.266
-2.555 -2.528 8.888
In Er Ga
2 8 1
Direct
0.185 0.744 0.371
0.815 0.256 0.629
0.982 0.232 0.965
0.348 0.027 0.695
0.652 0.973 0.305
0.018 0.768 0.035
0.794 0.700 0.588
0.409 0.543 0.818
0.591 0.457 0.182
0.206 0.300 0.412
0.500 0.000 0.000
```

Total DFT energy (no corrections) in eV per atom: -4.34
Magnetic moment in Bohr magnetons per cell: 0.00
Density of states at the Fermi level in states/eV/f.u.: 11.3


Compound: SrLaY2Ru
Source: Alexandria
Functional: GGA-PBE
Structure: optimized geometry

Geometry as POSCAR:
```
SrLaY2Ru
1.0
5.732 0.000 0.000
0.000 4.914 0.000
0.000 0.000 5.732
La Ru Y Sr
1 1 2 1
Direct
0.500 0.500 0.500
0.000 0.500 0.000
0.000 0.000 0.500
0.500 0.000 0.000
0.000 0.000 0.000
```

Total DFT energy (no corrections) in eV per atom: -4.62
Magnetic moment in Bohr magnetons per cell: 0.00
Density of states at the Fermi level in states/eV/f.u.: 8.8